Record 1
The following is a DFT calculation (PBE-GGA) of crystalline CaZn3AgRh at its relaxed geometry.

ΔE_f	-165	meV/atom

abc: 6.9142 6.9142 5.4780
angles: 90.00 90.00 107.34
With the nearest neighbours (Å) after each atom.
Sites, in units of the cell vectors:
Ca  0.2045  0.7955  0.7500  1 Rh 2.69
Ca  0.7955  0.2045  0.2500  1 Rh 2.69
Zn  0.2525  0.2525  0.0000  2 Rh 2.52, 2 Ag 2.66, 2 Zn 2.74
Zn  0.2525  0.2525  0.5000  2 Rh 2.52, 2 Ag 2.66, 2 Zn 2.74
Zn  0.3322  0.6678  0.2500  1 Rh 2.48, 1 Ag 2.73
Zn  0.6678  0.3322  0.7500  1 Rh 2.48, 1 Ag 2.73
Zn  0.7475  0.7475  0.0000  2 Rh 2.52, 2 Ag 2.66, 2 Zn 2.74
Zn  0.7475  0.7475  0.5000  2 Rh 2.52, 2 Ag 2.66, 2 Zn 2.74
Ag  0.0874  0.9126  0.2500  5 Zn 2.66-2.73
Ag  0.9126  0.0874  0.7500  5 Zn 2.66-2.73
Rh  0.4455  0.5545  0.7500  5 Zn 2.48-2.52, 1 Ca 2.69
Rh  0.5545  0.4455  0.2500  5 Zn 2.48-2.52, 1 Ca 2.69

Record 2
The following is a DFT calculation (PBE-GGA) of crystalline CaAgRu2 at its relaxed geometry.

relative energy among the computed polymorphs	1.74	eV per formula unit
ΔE_f	680	meV/atom

abc: 9.7875 9.7875 9.7875
angles: 16.90 16.90 16.90
With the nearest neighbours (Å) after each atom.
Sites, in units of the cell vectors:
Ca  0.0000  0.0000  0.0000  6 Ca 2.88, 6 Ru 2.97
Ag  0.5000  0.5000  0.5000  6 Ag 2.88, 6 Ru 2.89
Ru  0.2483  0.2483  0.2483  6 Ru 2.88, 3 Ag 2.89, 3 Ca 2.97
Ru  0.7517  0.7517  0.7517  6 Ru 2.88, 3 Ag 2.89, 3 Ca 2.97

Record 3
The following is a DFT calculation (PBE-GGA) of crystalline CaAgRu at its relaxed geometry.

relative energy among the computed polymorphs	0.10	eV per formula unit
ΔE_f	411	meV/atom

abc: 6.5729 6.5729 6.5729
angles: 152.53 152.53 39.24
With the nearest neighbours (Å) after each atom.
Sites, in units of the cell vectors:
Ca  0.0000  0.0000  0.0000  4 Ru 3.02, 4 Ca 3.12, 4 Ag 3.25
Ag  0.6925  0.6925  0.0000  4 Ru 2.82, 4 Ag 3.12
Ru  0.3338  0.3338  0.0000  4 Ag 2.82, 4 Ca 3.02, 4 Ru 3.12

Record 4
The following is a DFT calculation (PBE-GGA) of crystalline CaAg2Ru at its relaxed geometry.

relative energy among the computed polymorphs	0.34	eV per formula unit
ΔE_f	318	meV/atom

abc: 3.0451 4.1843 6.0742
angles: 90.00 90.00 90.00
With the nearest neighbours (Å) after each atom.
Sites, in units of the cell vectors:
Ca  0.0000  0.0000  0.0000  2 Ru 3.04, 2 Ca 3.05, 8 Ag 3.08
Ag  0.5000  0.5000  0.2766  1 Ag 2.71, 4 Ru 2.92
Ag  0.5000  0.5000  0.7234  1 Ag 2.71, 4 Ru 2.92
Ru  0.0000  0.0000  0.5000  8 Ag 2.92, 2 Ca 3.04, 2 Ru 3.05

Record-wise calculated volume values, in Å³ per atom: 20.8 17.3 20.1 19.3
Record-wise spin magnetization values, in μB/cell: 0.000 1.022 1.218 1.309